Entry from Alexandria: crystalline Pm2Nd6In3 at its relaxed geometry (PBE-GGA).

Cell: 13.233 13.233 13.233 Å, 156.40 156.40 33.63°
Sites, in units of the cell vectors:
Pm (0.056, 0.056, 0.000)
Pm (0.944, 0.944, 0.000)
Nd (0.101, 0.601, 0.500)
Nd (0.199, 0.199, 0.000)
Nd (0.399, 0.899, 0.500)
Nd (0.601, 0.101, 0.500)
Nd (0.801, 0.801, 0.000)
Nd (0.899, 0.399, 0.500)
In (0.324, 0.324, 0.000)
In (0.500, 0.500, 0.000)
In (0.676, 0.676, 0.000)

Calculated values
**Symmetry**: I4/mmm (139)
**E_form**: 171 meV/atom

---

Entry from Alexandria: crystalline PmNd6In2 at its relaxed geometry (PBE-GGA).

Cell: 10.028 10.028 3.478 Å, 99.93 99.93 56.81°
Sites, in units of the cell vectors:
Pm (0.000, 0.000, 0.000)
Nd (0.017, 0.641, 0.330)
Nd (0.337, 0.663, 0.500)
Nd (0.359, 0.983, 0.670)
Nd (0.641, 0.017, 0.330)
Nd (0.663, 0.337, 0.500)
Nd (0.983, 0.359, 0.670)
In (0.347, 0.347, 0.848)
In (0.653, 0.653, 0.152)

Calculated values
**Symmetry**: C2/m (12)
**Energy above the most stable polymorph in this dataset**: 1.11 eV/f.u.
**E_form**: -73 meV/atom

---

Entry from Alexandria: crystalline Pm3Nd4In at its relaxed geometry (PBE-GGA).

Cell: 10.157 7.134 7.215 Å, 90.00 90.00 90.00°
Sites, in units of the cell vectors:
Pm (0.000, 0.000, 0.000)
Pm (0.250, 0.260, 0.250)
Pm (0.250, 0.740, 0.750)
Pm (0.500, 0.000, 0.500)
Pm (0.750, 0.260, 0.250)
Pm (0.750, 0.740, 0.750)
Nd (0.000, 0.001, 0.500)
Nd (0.000, 0.499, 0.000)
Nd (0.249, 0.742, 0.250)
Nd (0.251, 0.258, 0.750)
Nd (0.500, 0.501, 0.500)
Nd (0.500, 0.999, 0.000)
Nd (0.749, 0.258, 0.750)
Nd (0.751, 0.742, 0.250)
In (0.000, 0.500, 0.501)
In (0.500, 0.500, 0.001)

Calculated values
**Symmetry**: Pmn2_1 (31)
**Energy above the most stable polymorph in this dataset**: 0.11 eV/f.u.
**E_form**: -85 meV/atom

---

Entry from Alexandria: crystalline Pm3Nd8In at its relaxed geometry (PBE-GGA).

Cell: 8.499 8.499 8.499 Å, 117.80 117.80 93.86°
Sites, in units of the cell vectors:
Pm (0.000, 0.000, 0.000)
Pm (0.250, 0.750, 0.500)
Pm (0.750, 0.250, 0.500)
Nd (0.122, 0.122, 0.747)
Nd (0.235, 0.235, 0.495)
Nd (0.260, 0.765, 0.000)
Nd (0.376, 0.376, 0.253)
Nd (0.624, 0.878, 0.000)
Nd (0.740, 0.740, 0.505)
Nd (0.765, 0.260, 0.000)
Nd (0.878, 0.624, 0.000)
In (0.500, 0.500, 0.000)

Calculated values
**Symmetry**: I-42m (121)
**E_form**: 418 meV/atom

---

Entry from Alexandria: crystalline PmNd4In at its relaxed geometry (PBE-GGA).

Cell: 8.955 8.955 8.955 Å, 98.52 98.52 134.73°
Sites, in units of the cell vectors:
Pm (0.000, 0.000, 0.000)
Pm (0.750, 0.250, 0.500)
Nd (0.437, 0.205, 0.232)
Nd (0.447, 0.187, 0.740)
Nd (0.447, 0.707, 0.260)
Nd (0.457, 0.697, 0.760)
Nd (0.937, 0.697, 0.240)
Nd (0.955, 0.223, 0.268)
Nd (0.955, 0.687, 0.732)
Nd (0.973, 0.205, 0.768)
In (0.242, 0.742, 0.500)
In (0.492, 0.492, 0.000)

Calculated values
**Symmetry**: I4_1md (109)
**Energy above the most stable polymorph in this dataset**: 2.61 eV/f.u.
**E_form**: 365 meV/atom

---

Entry from Alexandria: crystalline Pm15NdIn4 at its relaxed geometry (PBE-GGA).

Cell: 4.965 4.965 25.368 Å, 90.00 90.00 90.00°
Sites, in units of the cell vectors:
Pm (0.000, 0.000, 0.000)
Pm (0.000, 0.000, 0.206)
Pm (0.000, 0.000, 0.402)
Pm (0.000, 0.000, 0.598)
Pm (0.000, 0.000, 0.794)
Pm (0.000, 0.500, 0.107)
Pm (0.000, 0.500, 0.304)
Pm (0.000, 0.500, 0.500)
Pm (0.000, 0.500, 0.696)
Pm (0.000, 0.500, 0.893)
Pm (0.500, 0.000, 0.107)
Pm (0.500, 0.000, 0.304)
Pm (0.500, 0.000, 0.500)
Pm (0.500, 0.000, 0.696)
Pm (0.500, 0.000, 0.893)
Nd (0.500, 0.500, 0.000)
In (0.500, 0.500, 0.206)
In (0.500, 0.500, 0.402)
In (0.500, 0.500, 0.598)
In (0.500, 0.500, 0.794)

Calculated values
**Symmetry**: P4/mmm (123)
**E_form**: -209 meV/atom

---

Entry from Alexandria: crystalline Pm3NdIn4 at its relaxed geometry (PBE-GGA).

Cell: 3.855 3.855 15.441 Å, 90.00 90.00 90.00°
Sites, in units of the cell vectors:
Pm (0.000, 0.000, 0.000)
Pm (0.000, 0.000, 0.249)
Pm (0.000, 0.000, 0.751)
Nd (0.000, 0.000, 0.500)
In (0.500, 0.500, 0.124)
In (0.500, 0.500, 0.373)
In (0.500, 0.500, 0.627)
In (0.500, 0.500, 0.876)

Calculated values
**Symmetry**: P4/mmm (123)
**E_form**: -497 meV/atom

---

Entry from Alexandria: crystalline Pm4Nd5In at its relaxed geometry (PBE-GGA).

Cell: 4.270 4.270 18.358 Å, 90.00 90.00 90.00°
Sites, in units of the cell vectors:
Pm (0.000, 0.000, 0.102)
Pm (0.000, 0.000, 0.304)
Pm (0.000, 0.000, 0.696)
Pm (0.000, 0.000, 0.898)
Nd (0.500, 0.500, 0.000)
Nd (0.500, 0.500, 0.205)
Nd (0.500, 0.500, 0.412)
Nd (0.500, 0.500, 0.588)
Nd (0.500, 0.500, 0.795)
In (0.000, 0.000, 0.500)

Calculated values
**Symmetry**: P4/mmm (123)
**Energy above the most stable polymorph in this dataset**: 0.00 eV/f.u.
**E_form**: -4 meV/atom

---

Entry from Alexandria: crystalline Pm4Nd3In2 at its relaxed geometry (PBE-GGA).

Cell: 6.152 6.152 10.702 Å, 107.44 107.44 46.76°
Sites, in units of the cell vectors:
Pm (0.007, 0.007, 0.176)
Pm (0.330, 0.330, 0.611)
Pm (0.670, 0.670, 0.389)
Pm (0.993, 0.993, 0.824)
Nd (0.000, 0.000, 0.500)
Nd (0.328, 0.328, 0.947)
Nd (0.672, 0.672, 0.053)
In (0.337, 0.337, 0.283)
In (0.663, 0.663, 0.717)

Calculated values
**Symmetry**: C2/m (12)
**Energy above the most stable polymorph in this dataset**: 0.00 eV/f.u.
**E_form**: -215 meV/atom

---

Entry from Alexandria: crystalline PmNd2In2 at its relaxed geometry (PBE-GGA).

Cell: 6.105 6.105 6.105 Å, 130.81 107.85 92.29°
Sites, in units of the cell vectors:
Pm (0.000, 0.000, 0.000)
Nd (0.306, 0.806, 0.500)
Nd (0.694, 0.194, 0.500)
In (0.293, 0.500, 0.793)
In (0.707, 0.500, 0.207)

Calculated values
**Symmetry**: Immm (71)
**Energy above the most stable polymorph in this dataset**: 0.02 eV/f.u.
**E_form**: -386 meV/atom

---

Entry from Alexandria: crystalline Pm2Nd6In at its relaxed geometry (PBE-GGA).

Cell: 11.634 11.634 6.290 Å, 105.67 105.67 47.78°
Sites, in units of the cell vectors:
Pm (0.170, 0.330, 0.054)
Pm (0.330, 0.170, 0.554)
Pm (0.670, 0.830, 0.446)
Pm (0.830, 0.670, 0.946)
Nd (0.004, 0.149, 0.723)
Nd (0.083, 0.583, 0.583)
Nd (0.149, 0.004, 0.223)
Nd (0.352, 0.495, 0.069)
Nd (0.417, 0.917, 0.917)
Nd (0.495, 0.352, 0.569)
Nd (0.505, 0.648, 0.431)
Nd (0.583, 0.083, 0.083)
Nd (0.648, 0.505, 0.931)
Nd (0.851, 0.996, 0.777)
Nd (0.917, 0.417, 0.417)
Nd (0.996, 0.851, 0.277)
In (0.250, 0.750, 0.750)
In (0.750, 0.250, 0.250)

Calculated values
**Symmetry**: C2/c (15)
**Energy above the most stable polymorph in this dataset**: 0.22 eV/f.u.
**E_form**: -45 meV/atom

---

Entry from Alexandria: crystalline Pm6Nd3In at its relaxed geometry (PBE-GGA).

Cell: 11.779 3.628 16.134 Å, 90.00 90.26 90.00°
Sites, in units of the cell vectors:
Pm (0.120, 0.250, 0.471)
Pm (0.123, 0.250, 0.827)
Pm (0.125, 0.750, 0.033)
Pm (0.369, 0.750, 0.765)
Pm (0.373, 0.250, 0.960)
Pm (0.376, 0.250, 0.352)
Pm (0.624, 0.750, 0.648)
Pm (0.627, 0.750, 0.040)
Pm (0.631, 0.250, 0.235)
Pm (0.875, 0.250, 0.967)
Pm (0.877, 0.750, 0.173)
Pm (0.880, 0.750, 0.529)
Nd (0.124, 0.250, 0.233)
Nd (0.372, 0.750, 0.543)
Nd (0.375, 0.750, 0.157)
Nd (0.625, 0.250, 0.843)
Nd (0.628, 0.250, 0.457)
Nd (0.876, 0.750, 0.767)
In (0.120, 0.750, 0.649)
In (0.880, 0.250, 0.351)

Calculated values
**Symmetry**: P2_1/m (11)
**E_form**: 28 meV/atom

---

Entry from Alexandria: crystalline Pm2NdIn4 at its relaxed geometry (PBE-GGA).

Cell: 7.265 7.265 7.265 Å, 130.90 130.90 71.97°
Sites, in units of the cell vectors:
Pm (0.146, 0.146, 0.000)
Pm (0.854, 0.854, 0.000)
Nd (0.500, 0.500, 0.000)
In (0.000, 0.500, 0.500)
In (0.250, 0.750, 0.500)
In (0.500, 0.000, 0.500)
In (0.750, 0.250, 0.500)

Calculated values
**Symmetry**: I4/mmm (139)
**Energy above the most stable polymorph in this dataset**: 0.50 eV/f.u.
**E_form**: -239 meV/atom

---

Entry from Alexandria: crystalline PmNd8In6 at its relaxed geometry (PBE-GGA).

Cell: 8.538 8.538 8.538 Å, 65.78 65.78 65.78°
Sites, in units of the cell vectors:
Pm (0.000, 0.000, 0.000)
Nd (0.116, 0.450, 0.782)
Nd (0.218, 0.884, 0.550)
Nd (0.334, 0.334, 0.334)
Nd (0.450, 0.782, 0.116)
Nd (0.550, 0.218, 0.884)
Nd (0.666, 0.666, 0.666)
Nd (0.782, 0.116, 0.450)
Nd (0.884, 0.550, 0.218)
In (0.054, 0.722, 0.386)
In (0.278, 0.614, 0.946)
In (0.386, 0.054, 0.722)
In (0.614, 0.946, 0.278)
In (0.722, 0.386, 0.054)
In (0.946, 0.278, 0.614)

Calculated values
**Symmetry**: R-3 (148)
**E_form**: -245 meV/atom

---

Entry from Alexandria: crystalline Pm8Nd3In at its relaxed geometry (PBE-GGA).

Cell: 8.461 8.461 8.461 Å, 117.62 117.62 94.18°
Sites, in units of the cell vectors:
Pm (0.123, 0.123, 0.748)
Pm (0.237, 0.237, 0.496)
Pm (0.260, 0.763, 0.000)
Pm (0.375, 0.375, 0.252)
Pm (0.625, 0.877, 0.000)
Pm (0.740, 0.740, 0.504)
Pm (0.763, 0.260, 0.000)
Pm (0.877, 0.625, 0.000)
Nd (0.000, 0.000, 0.000)
Nd (0.250, 0.750, 0.500)
Nd (0.750, 0.250, 0.500)
In (0.500, 0.500, 0.000)

Calculated values
**Symmetry**: I-42m (121)
**E_form**: 426 meV/atom

---

Entry from Alexandria: crystalline Pm9Nd4In11 at its relaxed geometry (PBE-GGA).

Cell: 14.068 14.068 3.579 Å, 90.00 90.00 100.12°
Sites, in units of the cell vectors:
Pm (0.000, 0.000, 0.000)
Pm (0.121, 0.644, 0.000)
Pm (0.293, 0.473, 0.000)
Pm (0.356, 0.879, 0.000)
Pm (0.473, 0.293, 0.000)
Pm (0.527, 0.707, 0.000)
Pm (0.644, 0.121, 0.000)
Pm (0.707, 0.527, 0.000)
Pm (0.879, 0.356, 0.000)
Nd (0.072, 0.239, 0.000)
Nd (0.239, 0.072, 0.000)
Nd (0.761, 0.928, 0.000)
Nd (0.928, 0.761, 0.000)
In (0.082, 0.437, 0.500)
In (0.137, 0.863, 0.500)
In (0.272, 0.272, 0.500)
In (0.326, 0.674, 0.500)
In (0.437, 0.082, 0.500)
In (0.500, 0.500, 0.500)
In (0.563, 0.918, 0.500)
In (0.674, 0.326, 0.500)
In (0.728, 0.728, 0.500)
In (0.863, 0.137, 0.500)
In (0.918, 0.563, 0.500)

Calculated values
**Symmetry**: Cmmm (65)
**E_form**: -413 meV/atom

---

Entry from Alexandria: crystalline PmNd14In at its relaxed geometry (PBE-GGA).

Cell: 7.274 7.274 10.305 Å, 90.00 90.00 90.00°
Sites, in units of the cell vectors:
Pm (0.000, 0.000, 0.000)
Nd (0.000, 0.000, 0.500)
Nd (0.000, 0.500, 0.000)
Nd (0.000, 0.500, 0.500)
Nd (0.253, 0.253, 0.245)
Nd (0.253, 0.253, 0.755)
Nd (0.253, 0.747, 0.245)
Nd (0.253, 0.747, 0.755)
Nd (0.500, 0.000, 0.000)
Nd (0.500, 0.000, 0.500)
Nd (0.500, 0.500, 0.500)
Nd (0.747, 0.253, 0.245)
Nd (0.747, 0.253, 0.755)
Nd (0.747, 0.747, 0.245)
Nd (0.747, 0.747, 0.755)
In (0.500, 0.500, 0.000)

Calculated values
**Symmetry**: P4/mmm (123)
**E_form**: -39 meV/atom

---

Entry from Alexandria: crystalline Pm2NdIn9 at its relaxed geometry (PBE-GGA).

Cell: 4.703 4.703 14.111 Å, 90.00 90.00 90.00°
Sites, in units of the cell vectors:
Pm (0.000, 0.000, 0.166)
Pm (0.000, 0.000, 0.834)
Nd (0.000, 0.000, 0.500)
In (0.000, 0.500, 0.000)
In (0.000, 0.500, 0.333)
In (0.000, 0.500, 0.667)
In (0.500, 0.000, 0.000)
In (0.500, 0.000, 0.333)
In (0.500, 0.000, 0.667)
In (0.500, 0.500, 0.167)
In (0.500, 0.500, 0.500)
In (0.500, 0.500, 0.833)

Calculated values
**Symmetry**: P4/mmm (123)
**E_form**: -469 meV/atom

---

Entry from Alexandria: crystalline PmNd4In4 at its relaxed geometry (PBE-GGA).

Cell: 7.236 7.236 11.030 Å, 90.00 90.00 90.00°
Sites, in units of the cell vectors:
Pm (0.250, 0.750, 0.250)
Pm (0.750, 0.250, 0.750)
Nd (0.026, 0.250, 0.176)
Nd (0.250, 0.026, 0.676)
Nd (0.250, 0.474, 0.676)
Nd (0.474, 0.250, 0.176)
Nd (0.526, 0.750, 0.824)
Nd (0.750, 0.526, 0.324)
Nd (0.750, 0.974, 0.324)
Nd (0.974, 0.750, 0.824)
In (0.018, 0.250, 0.476)
In (0.250, 0.018, 0.976)
In (0.250, 0.482, 0.976)
In (0.482, 0.250, 0.476)
In (0.518, 0.750, 0.524)
In (0.750, 0.518, 0.024)
In (0.750, 0.982, 0.024)
In (0.982, 0.750, 0.524)

Calculated values
**Symmetry**: P4_2/nmc (137)
**E_form**: -152 meV/atom